# CsNpRhSe4 (PBE-GGA, optimized geometry)
# formation energy from raw total energies: -780 meV per atom
data_CsNpRhSe4
_cell_length_a 6.923
_cell_length_b 6.170
_cell_length_c 9.842
_cell_angle_alpha 90.00
_cell_angle_beta 105.15
_cell_angle_gamma 90.00
_space_group_name_H-M_alt 'P 1 21/m 1'
_space_group_IT_number 11
_space_group_name_Hall '-P 2yb'
loop_
_atom_site_label
_atom_site_type_symbol
_atom_site_fract_x
_atom_site_fract_y
_atom_site_fract_z
Cs1 Cs 0.240 0.250 0.047
Np1 Np 0.249 0.250 0.542
Rh1 Rh 0.239 0.750 0.362
Se1 Se 0.027 0.510 0.696
Se2 Se 0.448 0.750 0.597
Se3 Se 0.461 0.750 0.207


# Cs2Np2RhSe6 (PBE-GGA, optimized geometry)
# formation energy from raw total energies: -996 meV per atom
data_Cs2Np2RhSe6
_cell_length_a 7.018
_cell_length_b 11.875
_cell_length_c 8.966
_cell_angle_alpha 90.00
_cell_angle_beta 105.74
_cell_angle_gamma 90.00
_space_group_name_H-M_alt 'C 1 2/m 1'
_space_group_IT_number 12
_space_group_name_Hall '-C 2y'
loop_
_atom_site_label
_atom_site_type_symbol
_atom_site_fract_x
_atom_site_fract_y
_atom_site_fract_z
Cs1 Cs 0.000 0.172 0.000
Np1 Np 0.000 0.331 0.500
Rh1 Rh 0.000 0.000 0.500
Se1 Se 0.220 0.153 0.679
Se2 Se 0.246 0.000 0.325


# CsNpRhSe3 (PBE-GGA, optimized geometry)
# formation energy from raw total energies: -960 meV per atom
data_CsNpRhSe3
_cell_length_a 9.640
_cell_length_b 4.146
_cell_length_c 10.099
_cell_angle_alpha 90.00
_cell_angle_beta 112.42
_cell_angle_gamma 90.00
_space_group_name_H-M_alt 'P 1 21/m 1'
_space_group_IT_number 11
_space_group_name_Hall '-P 2yb'
loop_
_atom_site_label
_atom_site_type_symbol
_atom_site_fract_x
_atom_site_fract_y
_atom_site_fract_z
Cs1 Cs 0.210 0.250 0.248
Np1 Np 0.321 0.750 0.847
Rh1 Rh 0.082 0.250 0.592
Se1 Se 0.130 0.250 0.859
Se2 Se 0.196 0.750 0.546
Se3 Se 0.471 0.750 0.152